# NaSrMgMn2

Crystalline NaSrMgMn2 at its relaxed geometry (PBE-GGA, Alexandria via LeMat-Bulk).

Summary:
Its formation energy is 1.474 eV/atom. The density of states at the Fermi level is 3.37 states/eV per cell.

Unit cell a=5.405 b=5.405 c=5.608 alpha=90.00 beta=90.00 gamma=90.00
Atoms (fractional coordinates):
Na 0.000 0.000 0.000
Sr 0.000 0.000 0.500
Mg 0.500 0.500 0.000
Mn 0.000 0.500 0.500
Mn 0.500 0.000 0.500